First-principles (PBE+U) data for a relaxed structure of MnCoPIrF, as listed in the Alexandria database.

```
MnCoPIrF
1.0
3.036 0.000 0.000
0.000 2.098 5.652
0.000 -2.098 5.652
Mn Co P Ir F
1 1 1 1 1
direct
0.000 0.000 0.000
0.000 0.658 0.658
0.500 0.823 0.823
0.500 0.429 0.429
0.000 0.174 0.174
```

Energy above the most stable polymorph in this dataset: 277.3 meV/atom
SG: Amm2, No. 38